Material: Sc2AlB
Method: DFT, PBE
State: relaxed

a b c (Å): 7.0596 7.0596 5.8258
angles (deg): 90.00 90.00 90.00
Space group I-42d (No. 122)
Asymmetric unit:
Sc: 0.1903 0.2500 0.1250 [8 per cell]
Al: 0.0000 0.0000 0.5000 [4 per cell]
B: 0.0000 0.0000 0.0000 [4 per cell]

Computed properties:
Energy of formation, eV per atom: 0.123
Polymorph energy (0 for the lowest one), meV per atom: 99